# 1
VASP calculation (GGA-PBE) on TeMo2Ir after structural relaxation.

Values from the calculation:
Distance to the lowest polymorph of the same formula (eV/atom): 0.5726

Unit cell a=5.869 b=5.869 c=7.170 alpha=65.84 beta=65.84 gamma=90.00
Positions (direct):
Mo1 0.662 0.125 0.250
Mo2 0.088 0.625 0.250
Mo3 0.375 0.338 0.750
Mo4 0.875 0.912 0.750
Ir1 0.000 0.000 0.000
Ir2 0.750 0.250 0.500
Te1 0.500 0.500 0.000
Te2 0.250 0.750 0.500

---

# 2
VASP calculation (GGA-PBE) on TeMo2Ir after structural relaxation.

Values from the calculation:
Distance to the lowest polymorph of the same formula (eV/atom): 0.1277

Unit cell a=3.006 b=4.129 c=5.597 alpha=90.00 beta=90.00 gamma=90.00
Positions (direct):
Ir1 0.500 0.500 0.750
Mo1 0.000 0.000 0.968
Mo2 0.000 0.000 0.532
Te1 0.500 0.500 0.250

---

no.,formation energy without anion corrections (eV per atom)
1,0.825
2,0.380